This record from Alexandria describes crystalline YHo2Er2Tm2 at its relaxed geometry. The functional is PBE.

Output
The value obtained for the total magnetization is 0.000 μB per atom. Its formation energy is 0.140 eV/atom. The density of states at the Fermi level is 17.51 states/eV per cell.

abc: 5.6039 5.6039 8.6839
angles: 71.18 71.18 60.00
With the nearest neighbours (Å) after each atom.
Atoms (fractional coordinates):
Y1 0.0000 0.0000 0.0000  6 Er 3.45, 2 Tm 3.47
Ho1 0.5718 0.5718 0.2846  4 Er 3.42-3.48, 3 Tm 3.44, 1 Ho 3.47
Ho2 0.4282 0.4282 0.7154  4 Er 3.42-3.48, 3 Tm 3.44, 1 Ho 3.47
Er1 0.7157 0.7157 0.8529  1 Tm 3.41, 4 Ho 3.42-3.48, 3 Y 3.45
Er2 0.2843 0.2843 0.1471  1 Tm 3.41, 4 Ho 3.42-3.48, 3 Y 3.45
Tm1 0.1434 0.1434 0.5699  1 Er 3.41, 3 Tm 3.43, 3 Ho 3.44, 1 Y 3.47
Tm2 0.8566 0.8566 0.4301  1 Er 3.41, 3 Tm 3.43, 3 Ho 3.44, 1 Y 3.47

---

This record from Alexandria describes crystalline Na3PrHo2O6 at its relaxed geometry. The functional is PBE.

Output
The value obtained for the total magnetization is 0.000 μB per atom. The density of states at the Fermi level is 0.00 states/eV per cell. Its uncorrected formation energy is -2.7283 eV per atom.

abc: 6.0342 6.0342 5.9488
angles: 99.66 99.66 120.05
With the nearest neighbours (Å) after each atom.
Atoms (fractional coordinates):
Na1 0.1730 0.8270 0.5000  6 O 2.47-2.66
Na2 0.8270 0.1730 0.5000  6 O 2.47-2.66
Na3 0.5000 0.5000 0.5000  6 O 2.50-2.62
Pr1 0.0000 0.0000 0.0000  6 O 2.41-2.42
Ho1 0.3335 0.6665 0.0000  6 O 2.30
Ho2 0.6665 0.3335 0.0000  6 O 2.30
O1 0.9298 0.5822 0.7883  2 Ho 2.30, 1 Pr 2.41, 1 Na 2.47
O2 0.7227 0.7227 0.2134  2 Ho 2.30, 1 Pr 2.42, 1 Na 2.50
O3 0.0702 0.4178 0.2117  2 Ho 2.30, 1 Pr 2.41, 1 Na 2.47
O4 0.5822 0.9298 0.7883  2 Ho 2.30, 1 Pr 2.41, 1 Na 2.47
O5 0.2773 0.2773 0.7866  2 Ho 2.30, 1 Pr 2.42, 1 Na 2.50
O6 0.4178 0.0702 0.2117  2 Ho 2.30, 1 Pr 2.41, 1 Na 2.47